# 1
Below is a PBEsol-optimized structure of LaHf3B, with properties calculated at the meta-GGA SCAN level.

Summary:
Energy relative to the elements   2.51 eV per atom
Fermi-level density of states   6.59 states/eV per cell

abc: 5.0116 5.0116 5.0116
angles: 90.00 90.00 90.00
With the nearest neighbours (Å) after each atom.
Element x y z (fractional)
B (0.5000, 0.5000, 0.5000)  12 Hf 3.54
Hf (0.0000, 0.0000, 0.5000)  2 La 2.51
La (0.0000, 0.0000, 0.0000)  6 Hf 2.51
Hf (0.0000, 0.5000, 0.0000)  2 La 2.51
Hf (0.5000, 0.0000, 0.0000)  2 La 2.51

***

# 2
Below is a PBEsol-optimized structure of Ti2GaCuPd, with properties calculated at the meta-GGA SCAN level.

Summary:
ΔE to the lowest computed polymorph   0 meV/atom
Energy relative to the elements   0.57 eV per atom
Fermi-level density of states   4.90 states/eV per cell

abc: 4.2266 4.6383 4.6383
angles: 90.00 90.00 90.00
With the nearest neighbours (Å) after each atom.
Element x y z (fractional)
Pd (0.5000, 0.5000, 0.5000)  8 Ti 3.14, 4 Cu 3.28
Ti (0.0000, 0.0000, 0.5000)  2 Ga 2.32
Ga (0.0000, 0.0000, 0.0000)  2 Cu 2.11, 4 Ti 2.32
Ti (0.0000, 0.5000, 0.0000)  2 Ga 2.32
Cu (0.5000, 0.0000, 0.0000)  2 Ga 2.11

***

# 3
Below is a PBEsol-optimized structure of POsIN2, with properties calculated at the meta-GGA SCAN level.

Summary:
Uncorrected formation energy   9.15 eV/f.u.
Fermi-level density of states   3.25 states/eV per cell

abc: 3.5008 3.5008 7.5614
angles: 90.00 90.00 90.00
With the nearest neighbours (Å) after each atom.
Element x y z (fractional)
Os (0.5000, 0.5000, 0.5000)  4 I 2.48
N (0.0000, 0.5000, 0.0000)  2 P 1.75
N (0.5000, 0.0000, 0.0000)  2 P 1.75
I (0.0000, 0.0000, 0.5000)  4 Os 2.48
P (0.0000, 0.0000, 0.0000)  4 N 1.75

***

# 4
Below is a PBEsol-optimized structure of IrOsRu2, with properties calculated at the meta-GGA SCAN level.

Summary:
ΔE to the lowest computed polymorph   3 meV/atom
Energy relative to the elements   0.03 eV per atom
Fermi-level density of states   3.51 states/eV per cell

abc: 2.6798 4.6502 4.6502
angles: 109.52 90.00 90.00
With the nearest neighbours (Å) after each atom.
Element x y z (fractional)
Ru (0.0000, 0.0000, 0.5000)  4 Ru 2.68, 4 Ir 2.68, 4 Os 2.68
Ir (0.5000, 0.0000, 0.0000)  2 Ir 2.68, 2 Os 2.68, 8 Ru 2.68
Ru (0.0000, 0.5000, 0.0000)  4 Ru 2.68, 4 Os 2.68, 4 Ir 2.68
Os (0.5000, 0.5000, 0.5000)  2 Os 2.68, 2 Ir 2.68, 8 Ru 2.68

***

# 5
Below is a PBEsol-optimized structure of Tc4SbPt, with properties calculated at the meta-GGA SCAN level.

Summary:
Uncorrected formation energy   2.94 eV/f.u.
Fermi-level density of states   5.74 states/eV per cell

abc: 5.1089 5.1089 5.1089
angles: 60.00 60.00 60.00
With the nearest neighbours (Å) after each atom.
Element x y z (fractional)
Tc (0.3771, 0.3771, 0.3771)  6 Tc 2.51-2.60
Pt (0.7500, 0.7500, 0.7500)  12 Tc 2.99, 4 Sb 3.13
Tc (0.3771, 0.3771, 0.8688)  6 Tc 2.51-2.60
Tc (0.3771, 0.8688, 0.3771)  6 Tc 2.51-2.60
Tc (0.8688, 0.3771, 0.3771)  6 Tc 2.51-2.60
Sb (0.0000, 0.0000, 0.0000)  12 Tc 3.00, 4 Pt 3.13

***

# 6
Below is a PBEsol-optimized structure of CoMo2Au, with properties calculated at the meta-GGA SCAN level.

Summary:
Energy relative to the elements   0.29 eV per atom
Fermi-level density of states   3.10 states/eV per cell

abc: 2.7086 3.7010 5.7485
angles: 90.00 90.00 90.00
With the nearest neighbours (Å) after each atom.
Element x y z (fractional)
Co (0.5000, 0.5000, 0.7771)  5 Mo 2.55-2.65, 2 Co 2.71, 4 Au 2.75
Mo (0.0000, 0.0000, 0.9726)  4 Co 2.55, 1 Au 2.65, 6 Mo 2.71-2.76
Au (0.0000, 0.0000, 0.5117)  5 Mo 2.65-2.78, 2 Au 2.71, 4 Co 2.75
Mo (0.5000, 0.5000, 0.2385)  1 Co 2.65, 6 Mo 2.71-2.76, 4 Au 2.78

***

# 7
Below is a PBEsol-optimized structure of TeAsBr, with properties calculated at the meta-GGA SCAN level.

Summary:
Uncorrected formation energy   0.53 eV/f.u.
Fermi-level density of states   1.22 states/eV per cell

abc: 3.4296 3.4296 7.3118
angles: 98.36 98.36 112.34
With the nearest neighbours (Å) after each atom.
Element x y z (fractional)
Br (0.3591, 0.3591, 0.7181)  2 As 2.75
Te (0.6420, 0.6420, 0.2841)  2 As 2.78
As (0.9989, 0.9989, 0.9978)  2 Br 2.75, 2 Te 2.78

***

# 8
Below is a PBEsol-optimized structure of CsTiZnS3, with properties calculated at the meta-GGA SCAN level.

Summary:
Uncorrected formation energy   -7.96 eV/f.u.
Fermi-level density of states   1.86 states/eV per cell

abc: 3.6899 7.8449 9.7196
angles: 90.00 90.00 103.60
With the nearest neighbours (Å) after each atom.
Element x y z (fractional)
S (0.0554, 0.1108, 0.2500)  2 Zn 2.32, 2 Ti 2.57
Ti (0.0000, 0.0000, 0.5000)  6 S 2.52-2.57
S (0.6084, 0.2168, 0.9550)  1 Zn 2.27, 2 Ti 2.52
S (0.6084, 0.2168, 0.5450)  1 Zn 2.27, 2 Ti 2.52
Cs (0.7446, 0.4891, 0.2500)  8 S 3.42-3.54, 2 Cs 3.69, 2 Zn 3.81
S (0.9446, 0.8892, 0.7500)  2 Zn 2.32, 2 Ti 2.57
S (0.3916, 0.7832, 0.0450)  1 Zn 2.27, 2 Ti 2.52
Ti (0.0000, 0.0000, 0.0000)  6 S 2.52-2.57
Cs (0.2554, 0.5109, 0.7500)  8 S 3.42-3.54, 2 Cs 3.69, 2 Zn 3.81
Zn (0.5367, 0.0733, 0.7500)  4 S 2.27-2.32
S (0.3916, 0.7832, 0.4550)  1 Zn 2.27, 2 Ti 2.52
Zn (0.4633, 0.9267, 0.2500)  4 S 2.27-2.32

***

# 9
Below is a PBEsol-optimized structure of Sc2AgI, with properties calculated at the meta-GGA SCAN level.

Summary:
Uncorrected formation energy   -1.15 eV/f.u.
Fermi-level density of states   3.73 states/eV per cell

abc: 4.1310 4.1310 8.5271
angles: 75.98 75.98 60.00
With the nearest neighbours (Å) after each atom.
Element x y z (fractional)
Ag (0.5000, 0.5000, 0.5000)  6 Sc 2.72
Sc (0.8863, 0.8863, 0.3412)  3 Ag 2.72, 1 I 2.79
Sc (0.1137, 0.1137, 0.6588)  3 Ag 2.72, 1 I 2.79
I (0.0000, 0.0000, 0.0000)  2 Sc 2.79

***

# 10
Below is a PBEsol-optimized structure of LaW2Cl, with properties calculated at the meta-GGA SCAN level.

Summary:
Uncorrected formation energy   4.18 eV/f.u.
ΔE to the lowest computed polymorph   903 meV/atom
Fermi-level density of states   3.85 states/eV per cell

abc: 2.9100 2.9100 10.1424
angles: 81.75 81.75 60.00
With the nearest neighbours (Å) after each atom.
Element x y z (fractional)
W (0.2357, 0.2357, 0.2929)  3 Cl 2.67, 6 W 2.91
La (0.0000, 0.0000, 0.0000)  6 La 2.91
Cl (0.5000, 0.5000, 0.5000)  6 W 2.67, 6 Cl 2.91
W (0.7643, 0.7643, 0.7071)  3 Cl 2.67, 6 W 2.91

***

# 11
Below is a PBEsol-optimized structure of MgTl2As2, with properties calculated at the meta-GGA SCAN level.

Summary:
Energy relative to the elements   -0.14 eV per atom
Fermi-level density of states   1.81 states/eV per cell

abc: 5.2619 6.8352 6.8352
angles: 90.00 90.00 90.00
With the nearest neighbours (Å) after each atom.
Element x y z (fractional)
As (0.0000, 0.8743, 0.6257)  1 As 2.43, 2 Mg 2.70
Mg (0.0000, 0.0000, 0.0000)  4 As 2.70
As (0.0000, 0.6257, 0.1257)  1 As 2.43, 2 Mg 2.70
As (0.0000, 0.3743, 0.8743)  1 As 2.43, 2 Mg 2.70
Tl (0.5000, 0.1795, 0.6795)  6 As 3.24-3.38, 5 Tl 3.47-3.55
Tl (0.5000, 0.8205, 0.3205)  6 As 3.24-3.38, 5 Tl 3.47-3.55
Tl (0.5000, 0.3205, 0.1795)  6 As 3.24-3.38, 5 Tl 3.47-3.55
Mg (0.0000, 0.5000, 0.5000)  4 As 2.70
Tl (0.5000, 0.6795, 0.8205)  6 As 3.24-3.38, 5 Tl 3.47-3.55
As (0.0000, 0.1257, 0.3743)  1 As 2.43, 2 Mg 2.70

***

# 12
Below is a PBEsol-optimized structure of La2SiCl, with properties calculated at the meta-GGA SCAN level.

Summary:
Uncorrected formation energy   -5.68 eV/f.u.
ΔE to the lowest computed polymorph   0 meV/atom
Fermi-level density of states   1.57 states/eV per cell

abc: 4.3257 4.3257 7.1219
angles: 72.32 72.32 60.00
With the nearest neighbours (Å) after each atom.
Element x y z (fractional)
Cl (0.5000, 0.5000, 0.5000)  6 La 3.04
Si (0.0000, 0.0000, 0.0000)  6 La 2.97
La (0.7471, 0.7471, 0.7588)  3 Si 2.97, 3 Cl 3.04
La (0.2529, 0.2529, 0.2412)  3 Si 2.97, 3 Cl 3.04

***

# 13
Below is a PBEsol-optimized structure of Y2ScHg, with properties calculated at the meta-GGA SCAN level.

Summary:
Energy relative to the elements   -0.33 eV per atom
Fermi-level density of states   4.70 states/eV per cell

abc: 3.4705 3.4705 8.5613
angles: 90.00 90.00 90.00
With the nearest neighbours (Å) after each atom.
Element x y z (fractional)
Y (0.5000, 0.5000, 0.2795)  4 Hg 3.21, 8 Y 3.47-3.52
Y (0.0000, 0.0000, 0.9841)  4 Sc 3.36, 8 Y 3.47-3.52
Sc (0.5000, 0.5000, 0.7153)  4 Hg 2.96
Hg (0.0000, 0.0000, 0.5211)  4 Sc 2.96, 4 Y 3.21

***

# 14
Below is a PBEsol-optimized structure of Co9Se8, with properties calculated at the meta-GGA SCAN level.

Summary:
Uncorrected formation energy   -2.82 eV/f.u.
Fermi-level density of states   9.06 states/eV per cell

abc: 7.1786 7.1786 7.1786
angles: 60.00 60.00 60.00
With the nearest neighbours (Å) after each atom.
Element x y z (fractional)
Co (0.8766, 0.8766, 0.3701)  4 Se 2.23-2.28
Se (0.2500, 0.2500, 0.2500)  4 Co 2.23
Co (0.1234, 0.1234, 0.6299)  4 Se 2.23-2.28
Se (0.7500, 0.7500, 0.7500)  4 Co 2.23
Se (0.2649, 0.2649, 0.7351)  5 Co 2.28-2.39
Se (0.7351, 0.7351, 0.2649)  5 Co 2.28-2.39
Co (0.3701, 0.8766, 0.8766)  4 Se 2.23-2.28
Co (0.1234, 0.1234, 0.1234)  4 Se 2.23-2.28
Co (0.8766, 0.3701, 0.8766)  4 Se 2.23-2.28
Co (0.1234, 0.6299, 0.1234)  4 Se 2.23-2.28
Co (0.5000, 0.5000, 0.5000)  6 Se 2.39
Se (0.7351, 0.2649, 0.2649)  5 Co 2.28-2.39
Se (0.2649, 0.7351, 0.7351)  5 Co 2.28-2.39
Co (0.6299, 0.1234, 0.1234)  4 Se 2.23-2.28
Co (0.8766, 0.8766, 0.8766)  4 Se 2.23-2.28
Se (0.7351, 0.2649, 0.7351)  5 Co 2.28-2.39
Se (0.2649, 0.7351, 0.2649)  5 Co 2.28-2.39